<i>
# MoOs2Br

A relaxed structure of MoOs2Br (PBEsol, Alexandria).

Calculated values
V = 15.348 Å³/atom

Cell lengths 4.6291, 4.6291, 2.8650 Å; angles 90.00, 90.00, 90.00 degrees
Closest atoms and distances in Å follow each position.
Positions (direct):
Mo (0.0000, 0.0000, 0.0000)  8 Os 2.72, 2 Mo 2.87
Os (0.0000, 0.5000, 0.5000)  4 Mo 2.72, 4 Br 2.72, 2 Os 2.87
Os (0.5000, 0.0000, 0.5000)  4 Mo 2.72, 4 Br 2.72, 2 Os 2.87
Br (0.5000, 0.5000, 0.0000)  8 Os 2.72, 2 Br 2.87

=====

<ii>
# MoOs2Br

A relaxed structure of MoOs2Br (PBEsol, Alexandria).

Calculated values
V = 15.243 Å³/atom

Cell lengths 5.2463, 5.2463, 2.8667 Å; angles 104.08, 104.08, 118.51 degrees
Closest atoms and distances in Å follow each position.
Positions (direct):
Mo (0.0000, 0.0000, 0.0000)  4 Os 2.67, 4 Br 2.68-2.84, 2 Mo 2.87
Os (0.0000, 0.5000, 0.5000)  2 Mo 2.67, 2 Br 2.67, 6 Os 2.68-2.87
Os (0.5000, 0.0000, 0.5000)  2 Mo 2.67, 2 Br 2.67, 6 Os 2.68-2.87
Br (0.5000, 0.5000, 0.0000)  4 Os 2.67, 4 Mo 2.68-2.84, 2 Br 2.87

=====

The structure with the least stability is <i>.

=====

<i>
# MoPBr2

A relaxed structure of MoPBr2 (PBEsol, Alexandria).

Calculated values
V = 19.757 Å³/atom

Cell lengths 3.2392, 3.2392, 7.5319 Å; angles 90.00, 90.00, 90.00 degrees
Closest atoms and distances in Å follow each position.
Positions (direct):
Mo (0.0000, 0.0000, 0.0000)  4 P 2.48, 1 Br 2.72
P (0.5000, 0.5000, 0.1254)  4 Mo 2.48
Br (0.0000, 0.0000, 0.3613)  1 Mo 2.72, 4 P 2.90
Br (0.5000, 0.5000, 0.7461)  1 P 2.86, 4 Mo 2.98

=====

<ii>
# MoPBr2

A relaxed structure of MoPBr2 (PBEsol, Alexandria).

Calculated values
V = 17.211 Å³/atom

Cell lengths 4.6316, 4.6316, 3.2093 Å; angles 90.00, 90.00, 90.00 degrees
Closest atoms and distances in Å follow each position.
Positions (direct):
Mo (0.0000, 0.0000, 0.0000)  8 Br 2.82
P (0.5000, 0.5000, 0.0000)  8 Br 2.82
Br (0.0000, 0.5000, 0.5000)  4 Mo 2.82, 4 P 2.82
Br (0.5000, 0.0000, 0.5000)  4 Mo 2.82, 4 P 2.82

=====

The structure with the least stability is <ii>.

=====

<i>
# MoPbBr2

A relaxed structure of MoPbBr2 (PBEsol, Alexandria).

Calculated values
V = 23.711 Å³/atom

Cell lengths 5.1248, 5.1248, 5.1248 Å; angles 120.23, 120.23, 89.61 degrees
Closest atoms and distances in Å follow each position.
Positions (direct):
Mo (0.0000, 0.0000, 0.0000)  8 Br 3.13
Pb (0.5000, 0.5000, 0.0000)  8 Br 3.13
Br (0.2500, 0.7500, 0.5000)  4 Pb 3.13, 4 Mo 3.13
Br (0.7500, 0.2500, 0.5000)  4 Pb 3.13, 4 Mo 3.13

=====

<ii>
# MoPbBr2

A relaxed structure of MoPbBr2 (PBEsol, Alexandria).

Calculated values
V = 22.457 Å³/atom

Cell lengths 3.2974, 3.2974, 8.2614 Å; angles 90.00, 90.00, 90.00 degrees
Closest atoms and distances in Å follow each position.
Positions (direct):
Mo (0.0000, 0.0000, 0.0000)  4 Br 2.61
Pb (0.5000, 0.5000, 0.2621)  5 Br 3.13-3.34, 4 Mo 3.18, 4 Pb 3.30
Br (0.0000, 0.0000, 0.5143)  4 Pb 3.13, 4 Br 3.30
Br (0.5000, 0.5000, 0.8574)  4 Mo 2.61

=====

<iii>
# MoPbBr2

A relaxed structure of MoPbBr2 (PBEsol, Alexandria).

Calculated values
V = 24.742 Å³/atom

Cell lengths 7.3482, 7.3482, 7.3482 Å; angles 155.34, 143.17, 44.83 degrees
Closest atoms and distances in Å follow each position.
Positions (direct):
Mo (0.0000, 0.0000, 0.0000)  6 Br 2.54-2.84
Pb (0.1884, 0.6884, 0.5000)  2 Mo 3.00, 2 Pb 3.14, 2 Br 3.14
Br (0.5325, 0.5325, 0.0000)  4 Mo 2.84, 2 Br 3.14, 2 Pb 3.14
Br (0.8527, 0.3527, 0.5000)  2 Mo 2.54

=====

The structure with the least stability is <i>.

=====

<i>
# Re2MoBr

A relaxed structure of Re2MoBr (PBEsol, Alexandria).

Calculated values
V = 15.440 Å³/atom

Cell lengths 3.0242, 3.0242, 6.7526 Å; angles 90.00, 90.00, 90.00 degrees
Closest atoms and distances in Å follow each position.
Positions (direct):
Re (0.0000, 0.0000, 0.2372)  4 Mo 2.67, 4 Br 2.78
Re (0.0000, 0.0000, 0.7628)  4 Mo 2.67, 4 Br 2.78
Mo (0.5000, 0.5000, 0.0000)  8 Re 2.67
Br (0.5000, 0.5000, 0.5000)  8 Re 2.78, 4 Br 3.02

=====

<ii>
# Re2MoBr

A relaxed structure of Re2MoBr (PBEsol, Alexandria).

Calculated values
V = 15.469 Å³/atom

Cell lengths 5.2441, 5.2441, 2.8816 Å; angles 103.30, 103.30, 118.89 degrees
Closest atoms and distances in Å follow each position.
Positions (direct):
Re (0.0000, 0.5000, 0.0000)  6 Re 2.67-2.91, 2 Br 2.69, 2 Mo 2.69
Re (0.5000, 0.0000, 0.0000)  6 Re 2.67-2.91, 2 Br 2.69, 2 Mo 2.69
Mo (0.0000, 0.0000, 0.5000)  4 Br 2.67-2.91, 4 Re 2.69, 2 Mo 2.88
Br (0.5000, 0.5000, 0.5000)  4 Mo 2.67-2.91, 4 Re 2.69, 2 Br 2.88

=====

The structure with the least stability is <ii>.

=====

<i>
# Re2MoBr

A relaxed structure of Re2MoBr (PBEsol, Alexandria).

Calculated values
V = 16.079 Å³/atom

Cell lengths 2.7886, 2.7886, 9.1979 Å; angles 90.00, 90.00, 115.95 degrees
Closest atoms and distances in Å follow each position.
Positions (direct):
Re (0.0000, 0.0000, 0.0000)  6 Re 2.59-2.79, 2 Mo 2.65
Re (0.5000, 0.5000, 0.2312)  6 Re 2.59-2.79
Mo (0.5000, 0.5000, 0.7604)  2 Re 2.65, 2 Br 2.73, 6 Mo 2.79-2.96
Br (0.0000, 0.0000, 0.5111)  2 Mo 2.73, 6 Br 2.79-2.96, 2 Re 2.97

=====

<ii>
# Re2MoBr

A relaxed structure of Re2MoBr (PBEsol, Alexandria).

Calculated values
V = 15.673 Å³/atom

Cell lengths 8.7860, 8.7860, 8.7860 Å; angles 18.98, 18.98, 18.98 degrees
Closest atoms and distances in Å follow each position.
Positions (direct):
Re (0.2480, 0.2480, 0.2480)  3 Mo 2.69, 3 Br 2.77, 6 Re 2.90
Re (0.7520, 0.7520, 0.7520)  3 Mo 2.69, 3 Br 2.77, 6 Re 2.90
Mo (0.5000, 0.5000, 0.5000)  6 Re 2.69, 6 Mo 2.90
Br (0.0000, 0.0000, 0.0000)  6 Re 2.77, 6 Br 2.90

=====

The structure with the least stability is <i>.

=====

<i>
# ReMo2Br

A relaxed structure of ReMo2Br (PBEsol, Alexandria).

Calculated values
V = 17.748 Å³/atom

Cell lengths 3.0307, 3.8095, 6.1487 Å; angles 90.00, 90.00, 90.00 degrees
Closest atoms and distances in Å follow each position.
Positions (direct):
Re (0.0000, 0.0000, 0.0000)  8 Mo 2.69
Mo (0.5000, 0.5000, 0.1870)  1 Mo 2.30
Mo (0.5000, 0.5000, 0.8130)  1 Mo 2.30
Br (0.0000, 0.0000, 0.5000)  2 Br 3.03, 2 Re 3.07, 8 Mo 3.10

=====

<ii>
# ReMo2Br

A relaxed structure of ReMo2Br (PBEsol, Alexandria).

Calculated values
V = 15.172 Å³/atom

Cell lengths 5.2574, 5.2574, 5.2574 Å; angles 147.00, 129.23, 61.89 degrees
Closest atoms and distances in Å follow each position.
Positions (direct):
Re (0.0000, 0.0000, 0.0000)  4 Br 2.70, 4 Mo 2.81, 2 Re 2.99
Mo (0.2645, 0.7645, 0.5000)  2 Br 2.60, 4 Mo 2.72, 2 Re 2.81
Mo (0.7355, 0.2355, 0.5000)  2 Br 2.60, 4 Mo 2.72, 2 Re 2.81
Br (0.5000, 0.5000, 0.0000)  4 Mo 2.60, 4 Re 2.70

=====

<iii>
# ReMo2Br

A relaxed structure of ReMo2Br (PBEsol, Alexandria).

Calculated values
V = 15.553 Å³/atom

Cell lengths 4.4476, 4.4476, 4.4476 Å; angles 60.00, 60.00, 60.00 degrees
Closest atoms and distances in Å follow each position.
Positions (direct):
Re (0.0000, 0.0000, 0.0000)  4 Mo 2.72, 4 Br 2.72
Mo (0.5000, 0.5000, 0.5000)  4 Mo 2.72, 4 Br 2.72
Mo (0.7500, 0.7500, 0.7500)  4 Mo 2.72, 4 Re 2.72
Br (0.2500, 0.2500, 0.2500)  4 Mo 2.72, 4 Re 2.72

=====

The structure with the least stability is <iii>.